No. 1
A relaxed Y2NbInC crystal, computed with GGA-PBE.

**Density**: 6191 kg/m3
**ΔE to the lowest computed polymorph**: 0.0 meV per atom
**Energy relative to the elements**: -355 meV per atom

Cell: 4.9376 4.9376 4.3737 Å, 90.00 90.00 90.00°
With the nearest neighbours (Å) after each atom.
Fractional positions:
1 Y 0.5000 0.0000 0.0000  2 C 2.47
2 Y 0.0000 0.5000 0.0000  2 C 2.47
3 In 0.5000 0.5000 0.5000  8 Y 3.30, 4 Nb 3.49
4 Nb 0.0000 0.0000 0.5000  2 C 2.19
5 C 0.0000 0.0000 0.0000  2 Nb 2.19

No. 2
A relaxed RbZrPd2 crystal, computed with GGA-PBE.

**Density**: 7365 kg/m3
**ΔE to the lowest computed polymorph**: 6.2 meV per atom
**Energy relative to the elements**: 299 meV per atom

Cell: 4.9894 4.9894 4.9894 Å, 60.00 60.00 60.00°
With the nearest neighbours (Å) after each atom.
Fractional positions:
1 Pd 0.7500 0.7500 0.7500  4 Rb 3.06, 4 Zr 3.06
2 Pd 0.2500 0.2500 0.2500  4 Zr 3.06, 4 Rb 3.06
3 Zr 0.5000 0.5000 0.5000  8 Pd 3.06
4 Rb 0.0000 0.0000 0.0000  8 Pd 3.06

No. 3
A relaxed CeTl2Br2Cl4 crystal, computed with GGA-PBE.

**Density**: 4210 kg/m3
**Raw formation energy**: -1.476 eV per atom

Cell: 7.7189 7.6533 7.6533 Å, 58.05 64.90 64.90°
With the nearest neighbours (Å) after each atom.
Fractional positions:
1 Tl 0.7124 0.2548 0.2548  4 Cl 3.26-3.31, 1 Br 3.37
2 Tl 0.2876 0.7452 0.7452  4 Cl 3.26-3.31, 1 Br 3.37
3 Br 0.8260 0.7791 0.7791  1 Ce 2.80
4 Br 0.1740 0.2209 0.2209  1 Ce 2.80
5 Cl 0.3348 0.1789 0.6848  1 Ce 2.64
6 Cl 0.6652 0.3152 0.8211  1 Ce 2.64
7 Cl 0.6652 0.8211 0.3152  1 Ce 2.64
8 Cl 0.3348 0.6848 0.1789  1 Ce 2.64
9 Ce 0.5000 0.0000 0.0000  4 Cl 2.64, 2 Br 2.80

No. 4
A relaxed LiP2Ru crystal, computed with GGA-PBE.

**Density**: 5510 kg/m3
**ΔE to the lowest computed polymorph**: 277.0 meV per atom
**Energy relative to the elements**: -80 meV per atom

Cell: 4.7203 4.7203 4.7203 Å, 135.34 135.34 65.00°
With the nearest neighbours (Å) after each atom.
Fractional positions:
1 Li 0.7500 0.2500 0.5000  8 P 2.54-2.68, 4 Ru 2.68
2 P 0.0000 0.0000 0.0000  4 Ru 2.54, 4 P 2.68, 4 Li 2.68
3 P 0.2500 0.7500 0.5000  4 Li 2.54, 4 Ru 2.68, 4 P 2.68
4 Ru 0.5000 0.5000 0.0000  8 P 2.54-2.68, 4 Li 2.68

No. 5
A relaxed BiSF2 crystal, computed with GGA-PBE.

**Density**: 7620 kg/m3
**ΔE to the lowest computed polymorph**: 434.2 meV per atom
**Raw formation energy**: -0.907 eV per atom

Cell: 4.4139 4.4139 4.4139 Å, 60.00 60.00 60.00°
With the nearest neighbours (Å) after each atom.
Fractional positions:
1 S 0.0000 0.0000 0.0000  8 F 2.70
2 Bi 0.5000 0.5000 0.5000  8 F 2.70
3 F 0.7500 0.7500 0.7500  4 S 2.70, 4 Bi 2.70
4 F 0.2500 0.2500 0.2500  4 S 2.70, 4 Bi 2.70

No. 6
A relaxed IrC3 crystal, computed with GGA-PBE.

**Density**: 10951 kg/m3
**ΔE to the lowest computed polymorph**: 1963.7 meV per atom
**Energy relative to the elements**: 2680 meV per atom

Cell: 4.1059 4.1059 4.1059 Å, 90.00 90.00 90.00°
With the nearest neighbours (Å) after each atom.
Fractional positions:
1 Ir 0.5000 0.5000 0.5000  12 C 2.30
2 Ir 0.0000 0.0000 0.0000  12 C 2.30
3 C 0.5000 0.0000 0.7500  2 C 2.05, 4 Ir 2.30
4 C 0.0000 0.7500 0.5000  2 C 2.05, 4 Ir 2.30
5 C 0.7500 0.5000 0.0000  2 C 2.05, 4 Ir 2.30
6 C 0.2500 0.5000 0.0000  2 C 2.05, 4 Ir 2.30
7 C 0.0000 0.2500 0.5000  2 C 2.05, 4 Ir 2.30
8 C 0.5000 0.0000 0.2500  2 C 2.05, 4 Ir 2.30

No. 7
A relaxed TmMgCuPb crystal, computed with GGA-PBE.

**Density**: 8674 kg/m3
**Energy relative to the elements**: -180 meV per atom

Cell: 5.0083 5.0083 5.0083 Å, 60.00 60.00 60.00°
With the nearest neighbours (Å) after each atom.
Fractional positions:
1 Tm 0.7500 0.7500 0.7500  4 Cu 3.07, 4 Pb 3.07
2 Cu 0.5000 0.5000 0.5000  4 Mg 3.07, 4 Tm 3.07
3 Mg 0.2500 0.2500 0.2500  4 Pb 3.07, 4 Cu 3.07
4 Pb 0.0000 0.0000 0.0000  4 Tm 3.07, 4 Mg 3.07

No. 8
A relaxed CaHgSb crystal, computed with GGA-PBE.

**Density**: 6786 kg/m3
**ΔE to the lowest computed polymorph**: 0.3 meV per atom
**Raw formation energy**: -0.520 eV per atom

Cell: 4.7060 6.5854 6.5854 Å, 78.35 69.06 69.06°
With the nearest neighbours (Å) after each atom.
Fractional positions:
1 Hg 0.6592 0.6602 0.0214  3 Sb 2.87-2.90, 1 Hg 2.89
2 Hg 0.3408 0.9786 0.3398  3 Sb 2.87-2.90, 1 Hg 2.89
3 Sb 0.2597 0.7230 0.7577  3 Hg 2.87-2.90
4 Sb 0.7403 0.2423 0.2770  3 Hg 2.87-2.90
5 Ca 0.5000 0.1677 0.8323  2 Hg 3.24, 2 Sb 3.41
6 Ca 0.0000 0.6078 0.3922  4 Hg 3.27, 4 Sb 3.37

No. 9
A relaxed V10Ga6C crystal, computed with GGA-PBE.

**Density**: 6781 kg/m3
**Energy relative to the elements**: -282 meV per atom

Cell: 4.9111 7.3560 7.3560 Å, 120.00 90.00 90.00°
With the nearest neighbours (Å) after each atom.
Fractional positions:
1 Ga 0.2467 0.4016 0.0000  9 V 2.55-2.77, 1 Ga 2.82
2 Ga 0.7533 0.5984 0.0000  9 V 2.55-2.77, 1 Ga 2.82
3 Ga 0.7533 0.0000 0.5984  9 V 2.55-2.77, 1 Ga 2.82
4 Ga 0.2467 0.5984 0.5984  9 V 2.55-2.77, 1 Ga 2.82
5 Ga 0.7533 0.4016 0.4016  9 V 2.55-2.77, 1 Ga 2.82
6 Ga 0.2467 0.0000 0.4016  9 V 2.55-2.77, 1 Ga 2.82
7 V 0.5000 0.6667 0.3333  2 V 2.46, 6 Ga 2.57
8 V 0.2518 0.0000 0.7709  1 C 2.08
9 V 0.0000 0.6667 0.3333  2 V 2.46, 6 Ga 2.55
10 V 0.7482 0.7709 0.7709  1 C 2.08
11 V 0.2518 0.2291 0.2291  1 C 2.08
12 V 0.7482 0.2291 0.0000  1 C 2.08
13 V 0.0000 0.3333 0.6667  2 V 2.46, 6 Ga 2.55
14 V 0.5000 0.3333 0.6667  2 V 2.46, 6 Ga 2.57
15 V 0.7482 0.0000 0.2291  1 C 2.08
16 V 0.2518 0.7709 0.0000  1 C 2.08
17 C 0.5000 0.0000 0.0000  6 V 2.08

No. 10
A relaxed CaAgP crystal, computed with GGA-PBE.

**Density**: 4531 kg/m3
**Energy relative to the elements**: -627 meV per atom

Cell: 4.7751 4.7670 5.9983 Å, 90.01 90.01 73.84°
With the nearest neighbours (Å) after each atom.
Fractional positions:
1 Ag 0.0480 0.7747 0.7669  2 P 2.49
2 Ag 0.0484 0.7742 0.2669  2 P 2.50
3 Ca 0.6952 0.4227 0.0169  5 P 2.95-3.08, 2 Ag 3.08
4 Ca 0.4013 0.1261 0.5169  5 P 2.95-3.08, 2 Ag 3.08
5 P 0.3090 0.0365 0.0169  2 Ag 2.49-2.50
6 P 0.7875 0.5123 0.5170  2 Ag 2.49-2.50

No. 11
A relaxed Dy3Lu crystal, computed with GGA-PBE.

**Density**: 8821 kg/m3
**ΔE to the lowest computed polymorph**: 134.9 meV per atom
**Energy relative to the elements**: 139 meV per atom

Cell: 5.6080 5.6080 5.6080 Å, 60.00 60.00 60.00°
With the nearest neighbours (Å) after each atom.
Fractional positions:
1 Dy 0.7500 0.7500 0.7500  4 Dy 3.43, 4 Lu 3.43
2 Dy 0.2500 0.2500 0.2500  4 Dy 3.43, 4 Lu 3.43
3 Dy 0.0000 0.0000 0.0000  8 Dy 3.43
4 Lu 0.5000 0.5000 0.5000  8 Dy 3.43

No. 12
A relaxed Zr2AgPd crystal, computed with GGA-PBE.

**Density**: 8371 kg/m3
**ΔE to the lowest computed polymorph**: 0.1 meV per atom
**Energy relative to the elements**: -276 meV per atom

Cell: 3.3709 3.3709 6.9258 Å, 90.00 90.00 90.00°
With the nearest neighbours (Å) after each atom.
Fractional positions:
1 Zr 0.0000 0.0000 0.2384  4 Pd 2.90, 4 Ag 2.99
2 Zr 0.0000 0.0000 0.7616  4 Pd 2.90, 4 Ag 2.99
3 Ag 0.5000 0.5000 0.5000  8 Zr 2.99
4 Pd 0.5000 0.5000 0.0000  8 Zr 2.90

No. 13
A relaxed P2BrCl crystal, computed with GGA-PBE.

**Density**: 1624 kg/m3
**ΔE to the lowest computed polymorph**: 798.8 meV per atom
**Raw formation energy**: 0.558 eV per atom

Cell: 5.9777 5.9777 5.0727 Å, 90.00 90.00 90.00°
With the nearest neighbours (Å) after each atom.
Fractional positions:
1 Br 0.5000 0.5000 0.2500  2 Cl 2.54
2 P 0.0000 0.0000 0.0629  1 P 1.90
3 P 0.0000 0.0000 0.4371  1 P 1.90
4 Cl 0.5000 0.5000 0.7500  2 Br 2.54

No. 14
A relaxed CoAsH crystal, computed with GGA-PBE.

**Density**: 5363 kg/m3
**ΔE to the lowest computed polymorph**: 7.1 meV per atom

Cell: 3.7110 3.7110 6.0648 Å, 90.00 90.00 90.00°
With the nearest neighbours (Å) after each atom.
Fractional positions:
1 As 0.0000 0.5000 0.2786  1 H 1.55
2 As 0.5000 0.0000 0.7214  1 H 1.55
3 H 0.5000 0.0000 0.9773  1 As 1.55
4 H 0.0000 0.5000 0.0227  1 As 1.55
5 Co 0.0000 0.0000 0.5000  4 As 2.29
6 Co 0.5000 0.5000 0.5000  4 As 2.29

No. 15
A relaxed Ac2CeGe crystal, computed with GGA-PBE.

**Density**: 8305 kg/m3
**ΔE to the lowest computed polymorph**: 6.9 meV per atom
**Energy relative to the elements**: -159 meV per atom

Cell: 4.1246 4.1246 7.8359 Å, 90.00 90.00 90.00°
With the nearest neighbours (Å) after each atom.
Fractional positions:
1 Ge 0.5000 0.5000 0.0000  8 Ac 3.36
2 Ac 0.0000 0.0000 0.7871  1 Ac 3.34, 4 Ge 3.36, 4 Ce 3.68
3 Ac 0.0000 0.0000 0.2129  1 Ac 3.34, 4 Ge 3.36, 4 Ce 3.68
4 Ce 0.5000 0.5000 0.5000  8 Ac 3.68, 2 Ge 3.92, 4 Ce 4.12

No. 16
A relaxed U2PaGe crystal, computed with GGA-PBE.

**Density**: 15626 kg/m3
**ΔE to the lowest computed polymorph**: 0.0 meV per atom
**Energy relative to the elements**: -202 meV per atom

Cell: 4.4822 4.2996 4.2996 Å, 90.00 90.00 90.00°
With the nearest neighbours (Å) after each atom.
Fractional positions:
1 U 0.0000 0.0000 0.5000  4 U 3.04, 4 Pa 3.11, 4 Ge 3.11
2 U 0.0000 0.5000 0.0000  4 U 3.04, 4 Ge 3.11, 4 Pa 3.11
3 Pa 0.5000 0.5000 0.5000  4 Ge 3.04, 8 U 3.11
4 Ge 0.5000 0.0000 0.0000  4 Pa 3.04, 8 U 3.11

No. 17
A relaxed Sm3Si8Pd3 crystal, computed with GGA-PBE.

**Density**: 6612 kg/m3
**ΔE to the lowest computed polymorph**: 0.0 meV per atom
**Raw formation energy**: -0.581 eV per atom

Cell: 4.2168 7.8557 8.7262 Å, 65.14 76.02 74.43°
With the nearest neighbours (Å) after each atom.
Fractional positions:
1 Sm 0.0000 0.0000 0.0000  8 Si 2.93-3.05
2 Sm 0.6981 0.2506 0.3532  9 Si 2.98-3.17, 2 Pd 3.31
3 Sm 0.3019 0.7494 0.6468  9 Si 2.98-3.17, 2 Pd 3.31
4 Pd 0.3204 0.3267 0.0325  5 Si 2.45-2.59
5 Pd 0.0000 0.5000 0.5000  4 Si 2.44-2.73
6 Pd 0.6796 0.6733 0.9675  5 Si 2.45-2.59
7 Si 0.3676 0.0069 0.2579  3 Si 2.42-2.44, 1 Pd 2.45
8 Si 0.6324 0.9931 0.7421  3 Si 2.42-2.44, 1 Pd 2.45
9 Si 0.1114 0.1517 0.6254  1 Pd 2.44, 2 Si 2.44
10 Si 0.5240 0.6824 0.2696  3 Si 2.42-2.57, 1 Pd 2.59
11 Si 0.8886 0.8483 0.3746  1 Pd 2.44, 2 Si 2.44
12 Si 0.8656 0.4278 0.8410  4 Pd 2.47-2.73, 2 Si 2.57
13 Si 0.4760 0.3176 0.7304  3 Si 2.42-2.57, 1 Pd 2.59
14 Si 0.1344 0.5722 0.1590  4 Pd 2.47-2.73, 2 Si 2.57

No. 18
A relaxed Zn4CuAg crystal, computed with GGA-PBE.

**Density**: 5530 kg/m3
**ΔE to the lowest computed polymorph**: 369.4 meV per atom
**Energy relative to the elements**: 346 meV per atom

Cell: 3.7647 5.8779 5.8779 Å, 91.43 90.00 90.00°
With the nearest neighbours (Å) after each atom.
Fractional positions:
1 Cu 0.5000 0.0000 0.0000  6 Zn 2.38-2.42
2 Ag 0.0000 0.5000 0.5000  6 Zn 2.58-2.62
3 Zn 0.0000 0.8142 0.8141  2 Cu 2.42, 1 Ag 2.58
4 Zn 0.5000 0.7172 0.2828  1 Cu 2.38, 2 Ag 2.62
5 Zn 0.5000 0.2828 0.7172  1 Cu 2.38, 2 Ag 2.62
6 Zn 0.0000 0.1858 0.1859  2 Cu 2.42, 1 Ag 2.58

No. 19
A relaxed Ac12Co5Pt3 crystal, computed with GGA-PBE.

**Density**: 9213 kg/m3
**Energy relative to the elements**: -171 meV per atom

Cell: 15.0005 15.0005 15.0005 Å, 109.47 109.47 109.47°
With the nearest neighbours (Å) after each atom.
Fractional positions:
1 Pt 0.1250 0.8750 0.7500  8 Ac 3.29-3.35
2 Pt 0.6250 0.2500 0.3750  8 Ac 3.29-3.35
3 Pt 0.7500 0.8750 0.6250  8 Ac 3.29-3.35
4 Pt 0.2500 0.6250 0.8750  8 Ac 3.29-3.35
5 Pt 0.7500 0.3750 0.1250  8 Ac 3.29-3.35
6 Pt 0.3750 0.7500 0.6250  8 Ac 3.29-3.35
7 Pt 0.2500 0.1250 0.3750  8 Ac 3.29-3.35
8 Pt 0.8750 0.7500 0.1250  8 Ac 3.29-3.35
9 Pt 0.3750 0.6250 0.2500  8 Ac 3.29-3.35
10 Pt 0.6250 0.3750 0.7500  8 Ac 3.29-3.35
11 Pt 0.1250 0.2500 0.8750  8 Ac 3.29-3.35
12 Pt 0.8750 0.1250 0.2500  8 Ac 3.29-3.35
13 Ac 0.9131 0.8216 0.7873  2 Co 2.63-2.87
14 Ac 0.0869 0.1784 0.2127  2 Co 2.63-2.87
15 Ac 0.4085 0.3743 0.5869  2 Co 2.63-2.87
16 Ac 0.1784 0.0915 0.9657  2 Co 2.63-2.87
17 Ac 0.6784 0.2127 0.5869  2 Co 2.63-2.87
18 Ac 0.8743 0.2873 0.4657  2 Co 2.63-2.87
19 Ac 0.3216 0.5343 0.4085  2 Co 2.63-2.87
20 Ac 0.5343 0.2127 0.1257  2 Co 2.63-2.87
21 Ac 0.0343 0.6257 0.7127  2 Co 2.63-2.87
22 Ac 0.2127 0.5343 0.6257  2 Co 2.63-2.87
23 Ac 0.1784 0.0869 0.7127  2 Co 2.63-2.87
24 Ac 0.9131 0.0915 0.6257  2 Co 2.63-2.87
25 Ac 0.5915 0.9657 0.6784  2 Co 2.63-2.87
26 Ac 0.2873 0.8743 0.9657  2 Co 2.63-2.87
27 Ac 0.8743 0.5869 0.9085  2 Co 2.63-2.87
28 Ac 0.1257 0.4131 0.0915  2 Co 2.63-2.87
29 Ac 0.2873 0.4131 0.8216  2 Co 2.63-2.87
30 Ac 0.4085 0.0343 0.3216  2 Co 2.63-2.87
31 Ac 0.4131 0.2873 0.3216  2 Co 2.63-2.87
32 Ac 0.0869 0.9085 0.3743  2 Co 2.63-2.87
33 Ac 0.6257 0.0343 0.2127  2 Co 2.63-2.87
34 Ac 0.3216 0.7873 0.4131  2 Co 2.63-2.87
35 Ac 0.4657 0.7873 0.8743  2 Co 2.63-2.87
36 Ac 0.2127 0.6784 0.0869  2 Co 2.63-2.87
37 Ac 0.7127 0.5869 0.1784  2 Co 2.63-2.87
38 Ac 0.7127 0.1257 0.0343  2 Co 2.63-2.87
39 Ac 0.4657 0.6784 0.0915  2 Co 2.63-2.87
40 Ac 0.7873 0.3216 0.9131  2 Co 2.63-2.87
41 Ac 0.5343 0.3216 0.9085  2 Co 2.63-2.87
42 Ac 0.8216 0.9131 0.2873  2 Co 2.63-2.87
43 Ac 0.0915 0.1784 0.4657  2 Co 2.63-2.87
44 Ac 0.6257 0.5915 0.9131  2 Co 2.63-2.87
45 Ac 0.3743 0.9657 0.7873  2 Co 2.63-2.87
46 Ac 0.4131 0.1257 0.5915  2 Co 2.63-2.87
47 Ac 0.5869 0.7127 0.6784  2 Co 2.63-2.87
48 Ac 0.9085 0.0869 0.8743  2 Co 2.63-2.87
49 Ac 0.6784 0.4657 0.5915  2 Co 2.63-2.87
50 Ac 0.3743 0.4085 0.0869  2 Co 2.63-2.87
51 Ac 0.9085 0.8216 0.5343  2 Co 2.63-2.87
52 Ac 0.7873 0.4657 0.3743  2 Co 2.63-2.87
53 Ac 0.5915 0.6257 0.4131  2 Co 2.63-2.87
54 Ac 0.5869 0.8743 0.4085  2 Co 2.63-2.87
55 Ac 0.0915 0.9131 0.1257  2 Co 2.63-2.87
56 Ac 0.0343 0.4085 0.8216  2 Co 2.63-2.87
57 Ac 0.9657 0.3743 0.2873  2 Co 2.63-2.87
58 Ac 0.9657 0.5915 0.1784  2 Co 2.63-2.87
59 Ac 0.1257 0.7127 0.5343  2 Co 2.63-2.87
60 Ac 0.8216 0.9085 0.0343  2 Co 2.63-2.87
61 Co 0.2500 0.8750 0.1250  4 Ac 2.63
62 Co 0.5000 0.0000 0.0000  6 Ac 2.87
63 Co 0.1250 0.7500 0.3750  4 Ac 2.63
64 Co 0.0000 0.5000 0.0000  6 Ac 2.87
65 Co 0.5000 0.5000 0.5000  6 Ac 2.87
66 Co 0.6250 0.8750 0.2500  4 Ac 2.63
67 Co 0.3750 0.2500 0.1250  4 Ac 2.63
68 Co 0.2500 0.3750 0.6250  4 Ac 2.63
69 Co 0.5000 0.0000 0.5000  6 Ac 2.87
70 Co 0.7500 0.6250 0.3750  4 Ac 2.63
71 Co 0.0000 0.0000 0.5000  6 Ac 2.87
72 Co 0.0000 0.0000 0.0000  6 Ac 2.87
73 Co 0.5000 0.5000 0.0000  6 Ac 2.87
74 Co 0.0000 0.5000 0.5000  6 Ac 2.87
75 Co 0.3750 0.1250 0.7500  4 Ac 2.63
76 Co 0.6250 0.7500 0.8750  4 Ac 2.63
77 Co 0.8750 0.6250 0.7500  4 Ac 2.63
78 Co 0.7500 0.1250 0.8750  4 Ac 2.63
79 Co 0.1250 0.3750 0.2500  4 Ac 2.63
80 Co 0.8750 0.2500 0.6250  4 Ac 2.63

No. 20
A relaxed ReAgRh2 crystal, computed with GGA-PBE.

**Density**: 13549 kg/m3
**ΔE to the lowest computed polymorph**: 557.4 meV per atom
**Energy relative to the elements**: 551 meV per atom

Cell: 2.7594 4.6264 4.7992 Å, 90.00 90.00 90.00°
With the nearest neighbours (Å) after each atom.
Fractional positions:
1 Rh 0.0000 0.0000 0.0000  4 Ag 2.69, 6 Rh 2.76-2.77
2 Rh 0.5000 0.0000 0.5000  4 Re 2.69, 6 Rh 2.76-2.77
3 Ag 0.5000 0.5000 0.0000  4 Rh 2.69, 2 Ag 2.76, 4 Re 2.77
4 Re 0.0000 0.5000 0.5000  4 Rh 2.69, 2 Re 2.76, 4 Ag 2.77